# 1
VASP calculation (GGA-PBE) on crystalline CePm2Er at its relaxed geometry.

a b c (Å): 3.5736 3.5736 11.8473
angles (deg): 81.33 81.33 60.00
Last column: magnetic moment on the atom in μB.
Fractional positions:
Pm  0.0830  0.0830  0.7511  0.00
Pm  0.2501  0.2501  0.2498  -0.01
Er  0.6666  0.6666  0.0001  -0.06
Ce  0.5003  0.5003  0.4990  0.67

## Properties
Energy above the most stable polymorph in this dataset ... 0 meV per atom
DOS at the Fermi energy ... 7.39 states/eV per cell
Energy relative to the elements ... 0.0652 eV/atom

# 2
VASP calculation (GGA-PBE) on crystalline CePm6Er10 at its relaxed geometry.

a b c (Å): 6.8632 9.6357 9.6357
angles (deg): 120.00 90.00 90.00
Last column: magnetic moment on the atom in μB.
Fractional positions:
Pm  0.7009  0.6204  0.0000  0.01
Pm  0.2991  0.0000  0.3796  0.01
Pm  0.7009  0.3796  0.3796  0.01
Pm  0.2991  0.6204  0.6204  0.01
Pm  0.7009  0.0000  0.6204  0.01
Pm  0.2991  0.3796  0.0000  0.01
Er  0.0000  0.6667  0.3333  0.00
Er  0.0000  0.3333  0.6667  0.00
Er  0.8178  0.0000  0.2716  0.02
Er  0.1822  0.0000  0.7284  0.02
Er  0.5000  0.6667  0.3333  0.01
Er  0.1822  0.7284  0.0000  0.02
Er  0.8178  0.7284  0.7284  0.02
Er  0.5000  0.3333  0.6667  0.01
Er  0.1822  0.2716  0.2716  0.02
Er  0.8178  0.2716  0.0000  0.02
Ce  0.5000  0.0000  0.0000  0.87

## Properties
DOS at the Fermi energy ... 28.07 states/eV per cell
Energy relative to the elements ... 0.1445 eV/atom

# 3
VASP calculation (GGA-PBE) on crystalline CePm12Er3 at its relaxed geometry.

a b c (Å): 5.1167 5.1167 20.4441
angles (deg): 90.00 90.00 90.00
Last column: magnetic moment on the atom in μB.
Fractional positions:
Er  0.0000  0.0000  0.2501  -0.01
Er  0.0000  0.0000  0.7499  -0.01
Er  0.0000  0.0000  0.5000  -0.01
Pm  0.0000  0.5000  0.3750  0.00
Pm  0.5000  0.0000  0.1245  0.01
Pm  0.5000  0.0000  0.8755  0.01
Pm  0.0000  0.5000  0.1245  0.01
Pm  0.0000  0.5000  0.8755  0.01
Pm  0.5000  0.5000  0.2518  -0.01
Pm  0.5000  0.0000  0.6250  0.00
Pm  0.0000  0.5000  0.6250  0.00
Pm  0.5000  0.5000  0.0000  0.03
Pm  0.5000  0.0000  0.3750  0.00
Pm  0.5000  0.5000  0.5000  0.00
Pm  0.5000  0.5000  0.7482  -0.01
Ce  0.0000  0.0000  0.0000  0.77

## Properties
DOS at the Fermi energy ... 26.98 states/eV per cell
Energy relative to the elements ... 0.0315 eV/atom

# 4
VASP calculation (GGA-PBE) on crystalline Ce2PmEr at its relaxed geometry.

a b c (Å): 3.4933 3.4933 11.7726
angles (deg): 81.47 81.47 60.00
Last column: magnetic moment on the atom in μB.
Fractional positions:
Er  0.6678  0.6678  0.9965  0.00
Pm  0.4986  0.4986  0.5043  0.00
Ce  0.2515  0.2515  0.2456  0.69
Ce  0.0821  0.0821  0.7536  0.31

## Properties
Energy above the most stable polymorph in this dataset ... 0 meV per atom
DOS at the Fermi energy ... 9.97 states/eV per cell
Energy relative to the elements ... 0.1036 eV/atom

# 5
VASP calculation (GGA-PBE) on crystalline CePmEr2 at its relaxed geometry.

a b c (Å): 3.4359 3.4359 12.3985
angles (deg): 82.04 82.04 60.00
Last column: magnetic moment on the atom in μB.
Fractional positions:
Ce  0.5000  0.5000  0.5000  0.11
Er  0.9083  0.9083  0.2752  -0.01
Er  0.0917  0.0917  0.7248  -0.01
Pm  0.0000  0.0000  0.0000  -0.01

## Properties
Energy above the most stable polymorph in this dataset ... 132 meV per atom
DOS at the Fermi energy ... 7.93 states/eV per cell
Energy relative to the elements ... 0.1820 eV/atom

# 6
VASP calculation (GGA-PBE) on crystalline Ce2PmEr at its relaxed geometry.

a b c (Å): 5.6595 5.6595 5.6595
angles (deg): 60.00 60.00 60.00
Last column: magnetic moment on the atom in μB.
Fractional positions:
Ce  0.7500  0.7500  0.7500  0.75
Ce  0.2500  0.2500  0.2500  0.75
Er  0.5000  0.5000  0.5000  0.08
Pm  0.0000  0.0000  0.0000  0.13

## Properties
Energy above the most stable polymorph in this dataset ... 151 meV per atom
DOS at the Fermi energy ... 16.97 states/eV per cell
Energy relative to the elements ... 0.2541 eV/atom

# 7
VASP calculation (GGA-PBE) on crystalline Ce2PmEr at its relaxed geometry.

a b c (Å): 3.3659 3.3659 12.5198
angles (deg): 82.27 82.27 60.00
Last column: magnetic moment on the atom in μB.
Fractional positions:
Ce  0.0844  0.0844  0.7467  0.62
Ce  0.9156  0.9156  0.2533  0.62
Pm  0.5000  0.5000  0.5000  0.01
Er  0.0000  0.0000  0.0000  0.03

## Properties
Energy above the most stable polymorph in this dataset ... 139 meV per atom
DOS at the Fermi energy ... 10.61 states/eV per cell
Energy relative to the elements ... 0.2425 eV/atom

# 8
VASP calculation (GGA-PBE) on crystalline CePm2Er6 at its relaxed geometry.

a b c (Å): 3.4364 10.3295 10.3295
angles (deg): 56.30 109.45 109.45
Last column: magnetic moment on the atom in μB.
Fractional positions:
Er  0.8331  0.0001  0.3323  0.04
Er  0.1669  0.6677  0.9999  0.04
Er  0.5000  0.6676  0.3324  0.04
Er  0.8331  0.3323  0.0001  0.04
Er  0.1669  0.9999  0.6677  0.04
Er  0.5000  0.3324  0.6676  0.04
Ce  0.0000  0.0000  0.0000  0.74
Pm  0.3334  0.6668  0.6668  -0.02
Pm  0.6666  0.3332  0.3332  -0.02

## Properties
Energy above the most stable polymorph in this dataset ... 0 meV per atom
DOS at the Fermi energy ... 15.48 states/eV per cell
Energy relative to the elements ... 0.0848 eV/atom